## 1
A relaxed MgHgP2Cl crystal, computed with PBE.

Calculated values
Density of states at the Fermi level = 3.5 states/eV/cell
Crystal system = tetragonal
Size of the total moment = 0.8 μB per formula unit

Cell lengths 4.9435, 4.9435, 5.5700 Å; angles 90.00, 90.00, 90.00 degrees
Last column: magnetic moment on the atom in μB.
Atoms (fractional coordinates):
P 0.0000 0.5000 0.0000  0.19
P 0.5000 0.0000 0.0000  0.19
Mg 0.5000 0.5000 0.5000  -0.03
Hg 0.0000 0.0000 0.0000  0.02
Cl 0.0000 0.0000 0.5000  0.04

=====

## 2
A relaxed MgHgP2Cl crystal, computed with PBE.

Calculated values
Density of states at the Fermi level = 2.9 states/eV/cell
Crystal system = tetragonal
Size of the total moment = 1.3 μB per formula unit

Cell lengths 5.0325, 5.0325, 4.7960 Å; angles 90.00, 90.00, 90.00 degrees
Last column: magnetic moment on the atom in μB.
Atoms (fractional coordinates):
P 0.0000 0.5000 0.0000  0.27
P 0.5000 0.0000 0.0000  0.27
Mg 0.0000 0.0000 0.0000  -0.01
Hg 0.5000 0.5000 0.5000  -0.02
Cl 0.0000 0.0000 0.5000  0.11

=====

Least stable = 1

=====

## 1
A relaxed MgHgRhCl2 crystal, computed with PBE.

Calculated values
Density of states at the Fermi level = 8.4 states/eV/cell
Crystal system = tetragonal
Size of the total moment = 0.8 μB per formula unit

Cell lengths 4.6216, 5.8373, 4.6216 Å; angles 90.00, 90.00, 90.00 degrees
Last column: magnetic moment on the atom in μB.
Atoms (fractional coordinates):
Mg 0.0000 0.0000 0.0000  0.00
Rh 0.0000 0.5000 0.0000  0.74
Hg 0.5000 0.5000 0.5000  0.00
Cl 0.0000 0.0000 0.5000  0.01
Cl 0.5000 0.0000 0.0000  0.02

=====

## 2
A relaxed MgHgRhCl2 crystal, computed with PBE.

Calculated values
Density of states at the Fermi level = 2.1 states/eV/cell
Crystal system = tetragonal
Size of the total moment = 1.1 μB per formula unit

Cell lengths 4.5490, 6.8887, 4.5490 Å; angles 90.00, 90.00, 90.00 degrees
Last column: magnetic moment on the atom in μB.
Atoms (fractional coordinates):
Mg 0.0000 0.0000 0.0000  0.00
Rh 0.5000 0.5000 0.5000  1.07
Hg 0.0000 0.5000 0.0000  -0.01
Cl 0.0000 0.0000 0.5000  0.00
Cl 0.5000 0.0000 0.0000  0.00

=====

Least stable = 2

=====

## 1
A relaxed MgHgSCl2 crystal, computed with PBE.

Calculated values
Density of states at the Fermi level = 1.5 states/eV/cell
Crystal system = tetragonal
Size of the total moment = 0.0 μB per formula unit

Cell lengths 5.1611, 5.1611, 5.1386 Å; angles 90.00, 90.00, 90.00 degrees
Atoms (fractional coordinates):
Mg 0.5000 0.5000 0.5000
S 0.0000 0.0000 0.5000
Hg 0.0000 0.0000 0.0000
Cl 0.0000 0.5000 0.0000
Cl 0.5000 0.0000 0.0000

=====

## 2
A relaxed MgHgSCl2 crystal, computed with PBE.

Calculated values
Density of states at the Fermi level = 4.1 states/eV/cell
Crystal system = tetragonal
Size of the total moment = 0.0 μB per formula unit

Cell lengths 4.6995, 4.6995, 5.4559 Å; angles 90.00, 90.00, 90.00 degrees
Atoms (fractional coordinates):
Mg 0.0000 0.0000 0.0000
S 0.0000 0.0000 0.5000
Hg 0.5000 0.5000 0.5000
Cl 0.0000 0.5000 0.0000
Cl 0.5000 0.0000 0.0000

=====

Least stable = 1